Material: ReOsRh2
Method: DFT, PBE-GGA
State: optimized geometry

Unit cell a=2.7327 b=2.7327 c=7.7237 alpha=90.00 beta=90.00 gamma=90.00
Closest atoms and distances in Å follow each position.
Element x y z (fractional)
Re (0.0000, 0.0000, 0.0000)  4 Rh 2.70, 4 Os 2.73, 4 Re 2.73
Os (0.5000, 0.5000, 0.7503)  4 Rh 2.70, 4 Re 2.73, 4 Os 2.73
Rh (0.0000, 0.0000, 0.5060)  4 Os 2.70, 8 Rh 2.73-2.79
Rh (0.5000, 0.5000, 0.2448)  4 Re 2.70, 8 Rh 2.73-2.79

Properties
**Total magnetization**: 0.00 μB/f.u.
**ρ**: 16.8 g cm⁻³
**N(E_F)**: 3.636 states/eV/f.u.
**Polymorph energy (0 for the lowest one)**: 0.0439 eV per atom
**ΔH_f (0 K)**: -0.0150 eV per atom
**Space-group type**: No. 99